(1)
A geometry-optimized Ge2SeI2 structure, computed with PBE.

Computed properties:
Energy above the most stable polymorph in this dataset = 0.0 kJ per mole of atoms
Space group = C2/m
Magnetic moment = 0.00 μB/f.u.

Unit cell a=4.1529 b=4.1521 c=11.5401 alpha=80.91 beta=79.63 gamma=59.99
Closest atoms and distances in Å follow each position.
Element x y z (fractional)
Ge 0.7187 0.2013 0.3614  3 Se 2.86-2.87, 3 I 3.01-3.02
Ge 0.2813 0.7987 0.6386  3 Se 2.86-2.87, 3 I 3.01-3.02
Se 0.0000 0.5000 0.5000  6 Ge 2.86-2.87
I 0.4456 0.9091 0.1998  3 Ge 3.01-3.02
I 0.5544 0.0909 0.8002  3 Ge 3.01-3.02



(2)
A geometry-optimized Ge2SeI2 structure, computed with PBE.

Computed properties:
Energy above the most stable polymorph in this dataset = 4.3 kJ per mole of atoms
Space group = C2/c
Magnetic moment = 0.00 μB/f.u.

Unit cell a=7.4904 b=7.2955 c=7.0429 alpha=90.15 beta=90.00 gamma=120.89
Closest atoms and distances in Å follow each position.
Element x y z (fractional)
Ge 0.8587 0.7170 0.4994  2 Se 2.71, 1 I 3.03
Ge 0.1417 0.2830 0.0006  2 Se 2.71, 1 I 3.03
Ge 0.1413 0.2830 0.5006  2 Se 2.71, 1 I 3.03
Ge 0.8583 0.7170 0.9994  2 Se 2.71, 1 I 3.03
Se 0.8585 0.0000 0.2500  4 Ge 2.71
Se 0.1415 0.0000 0.7500  4 Ge 2.71
I 0.4921 0.3259 0.2482  4 Ge 3.03-3.28
I 0.1662 0.6741 0.2518  4 Ge 3.03-3.28
I 0.5079 0.6741 0.7518  4 Ge 3.03-3.28
I 0.8338 0.3259 0.7482  4 Ge 3.03-3.28



(3)
A geometry-optimized GeSe2I structure, computed with PBE.

Computed properties:
Fermi-level density of states = 3.195 states/eV per cell
Energy above the most stable polymorph in this dataset = 61.7 kJ per mole of atoms
Space group = Fm-3m
Magnetic moment = 0.00 μB/f.u.

Unit cell a=5.1248 b=5.1248 c=5.1248 alpha=60.00 beta=60.00 gamma=60.00
Closest atoms and distances in Å follow each position.
Element x y z (fractional)
I 0.5000 0.5000 0.5000  8 Se 3.14
Ge 0.0000 0.0000 0.0000  8 Se 3.14
Se 0.2500 0.2500 0.2500  4 I 3.14, 4 Ge 3.14
Se 0.7500 0.7500 0.7500  4 I 3.14, 4 Ge 3.14



(4)
A geometry-optimized GeSeI structure, computed with PBE.

Computed properties:
Fermi-level density of states = 1.722 states/eV per cell
Energy above the most stable polymorph in this dataset = 3.5 kJ per mole of atoms
Space group = P3m1
Magnetic moment = 0.00 μB/f.u.

Unit cell a=7.1731 b=3.8556 c=3.8556 alpha=120.00 beta=90.00 gamma=90.00
Closest atoms and distances in Å follow each position.
Element x y z (fractional)
I 0.7486 0.6667 0.3333  3 Ge 3.00
Ge 0.0295 0.0000 0.0000  3 Se 2.62
Se 0.2219 0.3333 0.6667  3 Ge 2.62